# 1
Entry from Alexandria: Ac2Zn3Ga after structural relaxation (PBE).

Computed properties:
The value obtained for the energy above the most stable polymorph in this dataset is 0.04 eV/f.u.

Unit cell a=4.1707 b=4.6293 c=8.0302 alpha=90.00 beta=90.00 gamma=90.00
Closest atoms and distances in Å follow each position.
Space group Pmm2 (No. 25)
Asymmetric unit:
1 Ac 0.0000 0.0000 0.0000 x1  10 Zn 3.37-3.40, 2 Ga 3.39
2 Ac 0.0000 0.5000 0.4928 x1  4 Ga 3.37, 8 Zn 3.38-3.41
3 Zn 0.5000 0.0000 0.6655 x1  2 Zn 2.66, 1 Ga 2.68
4 Zn 0.5000 0.5000 0.1613 x1  1 Zn 2.67, 2 Ga 2.69
5 Zn 0.5000 0.5000 0.8289 x1  3 Zn 2.66-2.67
6 Ga 0.5000 0.0000 0.3322 x1  3 Zn 2.68-2.69


# 2
Entry from Alexandria: Ac3Zn9Ga2 after structural relaxation (PBE).

Unit cell a=4.6829 b=9.4098 c=13.6440 alpha=90.00 beta=90.00 gamma=90.00
Closest atoms and distances in Å follow each position.
Space group Immm (No. 71)
Asymmetric unit:
1 Ac 0.0000 0.0000 0.0000 x2  12 Zn 3.27-3.44, 4 Ga 3.63
2 Ac 0.0000 0.0000 0.3032 x4  14 Zn 3.22-3.56, 2 Ga 3.31
3 Zn 0.0000 0.2783 0.1437 x8  4 Zn 2.70-2.86
4 Zn 0.0000 0.3621 0.3418 x8  4 Zn 2.60-2.81, 1 Ga 2.62
5 Zn 0.0000 0.5000 0.0000 x2  4 Zn 2.86, 4 Ga 3.03
6 Ga 0.0000 0.2051 0.5000 x4  2 Zn 2.62


# 3
Entry from Alexandria: AcZn2Ga3 after structural relaxation (PBE).

Unit cell a=15.7468 b=4.4516 c=7.8268 alpha=90.00 beta=112.59 gamma=90.00
Closest atoms and distances in Å follow each position.
Space group C2/m (No. 12)
Asymmetric unit:
1 Ac 0.1517 0.0000 0.0977 x4  7 Ga 3.17-3.49, 6 Zn 3.28-3.52
2 Zn 0.0156 0.5000 0.1694 x4  1 Zn 2.50, 4 Ga 2.54-2.64
3 Zn 0.1735 0.0000 0.6414 x4  7 Ga 2.62-2.90
4 Ga 0.0071 0.0000 0.3426 x4  1 Ga 2.56, 3 Zn 2.64-2.76
5 Ga 0.1309 0.5000 0.7672 x4  3 Zn 2.54-2.62
6 Ga 0.1763 0.5000 0.4448 x4  4 Zn 2.62-2.72, 1 Ga 2.88


# 4
Entry from Alexandria: Ac6ZnGa after structural relaxation (PBE).

Unit cell a=5.6024 b=5.6024 c=19.1309 alpha=90.00 beta=90.00 gamma=90.00
Closest atoms and distances in Å follow each position.
Space group I4/mmm (No. 139)
Asymmetric unit:
1 Ac 0.0000 0.0000 0.2487 x4  12 Ac 3.96-4.03
2 Ac 0.0000 0.5000 0.1000 x8  2 Zn 3.39, 2 Ga 3.39
3 Zn 0.0000 0.0000 0.5000 x2  8 Ac 3.39
4 Ga 0.0000 0.0000 0.0000 x2  8 Ac 3.39


Table of magnetization (μB/cell), in record order: 0.00; 0.00; 0.00; 0.00
Table of calculated formation energy (meV per atom), in record order: -363; -294; -335; -166
Table of total DFT energy (no corrections) (eV/cell), in record order: -17.24; -67.93; -71.00; -60.56